This record from Alexandria via LeMat-Bulk describes a relaxed BaOs2 crystal. The functional is PBE.

Results
Formation energy in eV/atom: 2.05
Calculated density in g/cm³: 13.6
E above lowest polymorph in kJ/mol of atoms: 157.63

Cell lengths 5.019, 5.019, 5.809 Å; angles 90.00, 90.00, 120.00 degrees
Site moments in Bohr magnetons follow the coordinates.
Element x y z (fractional)
Os: 0.000 0.000 0.000  0.89
Os: 0.333 0.667 0.750  1.03
Os: 0.667 0.333 0.250  1.03
Os: 0.000 0.000 0.500  0.89
Ba: 0.667 0.333 0.750  0.05
Ba: 0.333 0.667 0.250  0.05

***

This record from Alexandria via LeMat-Bulk describes a relaxed LiPuOsO6 crystal. The functional is PBE.

Results
E_form (uncorrected) in meV per atom: -1785
Calculated density in g/cm³: 7.7

Cell lengths 5.370, 5.370, 9.291 Å; angles 90.00, 90.00, 120.00 degrees
Site moments in Bohr magnetons follow the coordinates.
Element x y z (fractional)
O: 0.973 0.632 0.865  0.02
O: 0.027 0.659 0.365  0.02
O: 0.973 0.341 0.635  0.02
O: 0.659 0.632 0.635  0.02
O: 0.341 0.973 0.135  0.02
O: 0.659 0.027 0.865  0.02
O: 0.368 0.027 0.635  0.02
O: 0.632 0.659 0.135  0.02
O: 0.368 0.341 0.865  0.02
O: 0.027 0.368 0.135  0.02
O: 0.632 0.973 0.365  0.02
O: 0.341 0.368 0.365  0.02
Pu: 0.333 0.667 0.750  3.47
Pu: 0.667 0.333 0.250  3.47
Os: 0.333 0.667 0.250  1.13
Os: 0.667 0.333 0.750  1.13
Li: 0.000 0.000 0.000  0.01
Li: 0.000 0.000 0.500  0.01

***

This record from Alexandria via LeMat-Bulk describes a relaxed Be2Pt2O crystal. The functional is PBE.

Results
E_form (uncorrected) in meV per atom: -175
Calculated density in g/cm³: 12.1
E above lowest polymorph in kJ/mol of atoms: 0.00

Cell lengths 6.404, 6.404, 2.831 Å; angles 90.00, 90.00, 90.00 degrees
Element x y z (fractional)
Be: 0.631 0.869 0.500
Be: 0.369 0.131 0.500
Be: 0.869 0.369 0.500
Be: 0.131 0.631 0.500
Pt: 0.665 0.165 0.000
Pt: 0.165 0.335 0.000
Pt: 0.335 0.835 0.000
Pt: 0.835 0.665 0.000
O: 0.500 0.500 0.000
O: 0.000 0.000 0.000

***

This record from Alexandria via LeMat-Bulk describes a relaxed Sm4Y3ThS8 crystal. The functional is PBE.

Results
E_form (uncorrected) in meV per atom: -1981
Calculated density in g/cm³: 6.3

Cell lengths 7.967, 7.961, 7.967 Å; angles 120.03, 120.00, 90.00 degrees
Element x y z (fractional)
Sm: 0.500 0.000 0.500
Sm: 0.000 0.000 0.000
Sm: 0.000 0.000 0.500
Sm: 0.500 0.000 0.000
Y: 0.500 0.500 0.500
Y: 0.500 0.500 0.000
Y: 0.000 0.500 0.500
S: 0.747 0.741 0.494
S: 0.257 0.255 0.006
S: 0.749 0.255 0.498
S: 0.253 0.259 0.506
S: 0.743 0.745 0.994
S: 0.251 0.745 0.994
S: 0.749 0.255 0.006
S: 0.251 0.745 0.502
Th: 0.000 0.500 0.000

***

This record from Alexandria via LeMat-Bulk describes a relaxed LaCdIn4 crystal. The functional is PBE.

Results
Formation energy in eV/atom: -0.14
Calculated density in g/cm³: 7.1

Cell lengths 6.181, 6.181, 6.181 Å; angles 60.00, 60.00, 60.00 degrees
Element x y z (fractional)
In: 0.876 0.375 0.375
In: 0.375 0.876 0.375
In: 0.375 0.375 0.375
In: 0.375 0.375 0.876
Cd: 0.000 0.000 0.000
La: 0.750 0.750 0.750

***

This record from Alexandria via LeMat-Bulk describes a relaxed PuCrN4 crystal. The functional is PBE.

Results
E_form (uncorrected) in meV per atom: -110
Calculated density in g/cm³: 8.5

Cell lengths 5.031, 5.031, 6.492 Å; angles 112.80, 112.80, 90.00 degrees
Site moments in Bohr magnetons follow the coordinates.
Element x y z (fractional)
N: 0.669 0.560 0.825  -0.37
N: 0.735 0.331 0.175  -0.37
N: 0.594 0.985 0.675  -0.37
N: 0.440 0.844 0.175  -0.37
N: 0.015 0.919 0.325  -0.37
N: 0.156 0.265 0.825  -0.37
N: 0.310 0.406 0.325  -0.37
N: 0.081 0.690 0.675  -0.37
Pu: 0.750 0.250 0.500  3.43
Pu: 0.000 0.000 0.000  3.43
Cr: 0.250 0.750 0.500  0.50
Cr: 0.500 0.500 0.000  0.50

***

This record from Alexandria via LeMat-Bulk describes a relaxed Pr4Sm2TmTh crystal. The functional is PBE.

Results
Formation energy in eV/atom: 0.14
Calculated density in g/cm³: 7.7

Cell lengths 6.110, 6.103, 9.543 Å; angles 50.33, 90.00, 90.00 degrees
Element x y z (fractional)
Sm: 0.500 0.000 0.500
Sm: 0.000 0.000 0.000
Pr: 0.000 0.745 0.755
Pr: 0.000 0.255 0.245
Pr: 0.500 0.754 0.246
Pr: 0.500 0.246 0.754
Tm: 0.000 0.500 0.500
Th: 0.500 0.500 0.000

***

This record from Alexandria via LeMat-Bulk describes a relaxed NaIrRu2Pt crystal. The functional is PBE.

Results
Formation energy in eV/atom: 1.63
Calculated density in g/cm³: 8.8

Cell lengths 4.888, 4.852, 4.888 Å; angles 90.00, 90.00, 90.00 degrees
Site moments in Bohr magnetons follow the coordinates.
Element x y z (fractional)
Ir: 0.000 0.500 0.000  0.56
Na: 0.500 0.500 0.500  -0.01
Ru: 0.000 0.000 0.500  2.13
Ru: 0.500 0.000 0.000  1.51
Pt: 0.000 0.000 0.000  0.49

***

This record from Alexandria via LeMat-Bulk describes a relaxed Ac3HgRuO crystal. The functional is PBE.

Results
E_form (uncorrected) in meV per atom: -1101
Calculated density in g/cm³: 8.7

Cell lengths 4.343, 9.257, 9.789 Å; angles 103.49, 90.00, 90.00 degrees
Element x y z (fractional)
Ru: 0.750 0.335 0.849
Ru: 0.250 0.665 0.151
Ac: 0.250 0.127 0.854
Ac: 0.250 0.555 0.842
Ac: 0.750 0.445 0.158
Ac: 0.750 0.185 0.540
Ac: 0.750 0.873 0.146
Ac: 0.250 0.815 0.460
Hg: 0.250 0.188 0.237
Hg: 0.750 0.812 0.763
O: 0.250 0.079 0.592
O: 0.750 0.921 0.408